VASP calculation (PBE-GGA) on BeIr5 after structural relaxation.

abc: 9.7902 2.7188 6.4456
angles: 90.00 104.17 90.00
Closest atoms and distances in Å follow each position.
Space group Cm (No. 8)
Asymmetric unit:
Be1 0.0000 0.0000 0.0000  10 Ir 2.60-2.73, 2 Be 2.72
Ir1 0.0523 0.0000 0.6095  11 Ir 2.66-2.78, 1 Be 2.69
Ir2 0.1632 0.5000 0.3217  10 Ir 2.61-2.80, 2 Be 2.66
Ir3 0.2143 0.5000 0.9429  3 Be 2.60-2.73, 9 Ir 2.61-2.72
Ir4 0.3318 0.0000 0.6709  10 Ir 2.66-2.84, 2 Be 2.71
Ir5 0.3888 0.0000 0.2601  2 Be 2.60, 10 Ir 2.62-2.84

Output
density	19.4	g/cm3
electronic total energy	-0.5914	Ry per atom
distance to the lowest polymorph of the same formula	0.118	eV per atom
energy relative to the elements	-0.041	eV/atom
crystal system	monoclinic